DFT (PBE) results for crystalline MnCuAs at its relaxed geometry.

Cell and atoms, written as POSCAR:
```
MnCuAs
1.0
-1.421 1.421 5.491
1.421 -1.421 5.491
1.421 1.421 -5.491
Mn Cu As
1 1 1
direct
0.000 0.000 0.000
0.343 0.343 0.000
0.662 0.662 0.000
```

Results
E_tot: -17.3 eV per cell
Formation enthalpy at 0 K: 19.2 kJ/mol of atoms
Volume: 14.77 A^3/atom
Magnetization: 1.135 μB/atom


DFT (PBE) results for crystalline MnCuAs2 at its relaxed geometry.

Cell and atoms, written as POSCAR:
```
MnCuAs2
1.0
-2.054 2.074 3.620
2.054 -2.074 3.620
2.054 2.074 -3.620
Mn Cu As
1 1 2
direct
0.000 0.000 0.000
0.500 0.500 0.000
0.251 0.751 0.500
0.749 0.249 0.500
```

Results
E_tot: -21.9 eV per cell
Formation enthalpy at 0 K: 15.9 kJ/mol of atoms
Volume: 15.42 A^3/atom
Magnetization: 0.773 μB/atom


DFT (PBE) results for crystalline MnCuAs at its relaxed geometry.

Cell and atoms, written as POSCAR:
```
MnCuAs
1.0
-1.690 1.690 3.800
1.690 -1.690 3.800
1.690 1.690 -3.800
Mn Cu As
1 1 1
direct
0.000 0.000 0.000
0.334 0.334 0.000
0.656 0.656 0.000
```

Results
E_tot: -17.6 eV per cell
Formation enthalpy at 0 K: 11.1 kJ/mol of atoms
Volume: 14.46 A^3/atom
Magnetization: 1.095 μB/atom


DFT (PBE) results for crystalline MnCuAs2 at its relaxed geometry.

Cell and atoms, written as POSCAR:
```
MnCuAs2
1.0
3.270 0.000 0.000
0.000 3.270 0.000
0.000 0.000 5.672
Mn Cu As
1 1 2
direct
0.000 0.000 0.000
0.000 0.000 0.500
0.500 0.500 0.238
0.500 0.500 0.762
```

Results
E_tot: -22.1 eV per cell
Formation enthalpy at 0 K: 10.8 kJ/mol of atoms
Volume: 15.16 A^3/atom
Magnetization: 0.682 μB/atom


DFT (PBE) results for crystalline MnCu3As at its relaxed geometry.

Cell and atoms, written as POSCAR:
```
MnCu3As
1.0
4.410 0.000 0.000
0.000 4.410 0.000
0.000 0.000 4.410
Mn Cu As
1 3 1
direct
0.000 0.000 0.000
0.000 0.000 0.500
0.000 0.500 0.000
0.500 0.000 0.000
0.500 0.500 0.500
```

Results
E_tot: -19.6 eV per cell
Formation enthalpy at 0 K: 126.2 kJ/mol of atoms
Relative energy among the computed polymorphs: 15.57 kcal/mol of atoms
Volume: 17.16 A^3/atom
Magnetization: 0.000 μB/atom


DFT (PBE) results for crystalline MnCuAs2 at its relaxed geometry.

Cell and atoms, written as POSCAR:
```
MnCuAs2
1.0
1.584 0.915 7.176
-1.584 0.915 7.176
0.000 -1.829 7.176
Mn Cu As
1 1 2
direct
0.000 0.000 0.000
0.500 0.500 0.500
0.255 0.255 0.255
0.745 0.745 0.745
```

Results
E_tot: -22.3 eV per cell
Formation enthalpy at 0 K: 5.4 kJ/mol of atoms
Volume: 15.59 A^3/atom
Magnetization: 0.586 μB/atom